[1]
Entry from the Alexandria database: Ca3YMg at its PBEsol-relaxed geometry (meta-GGA SCAN).

Properties
The formation energy is 477 meV/atom. As for the density of states at the Fermi level: 1.4377 states/eV per atom.

a b c (Å): 5.8569 5.8569 5.8569
angles (deg): 90.00 90.00 90.00
Fractional coordinates of all 5 atoms:
Ca 0.0000 0.0000 0.5000
Ca 0.0000 0.5000 0.0000
Ca 0.5000 0.0000 0.0000
Y 0.5000 0.5000 0.5000
Mg 0.0000 0.0000 0.0000

***

[2]
Entry from the Alexandria database: CaYMg2 at its PBEsol-relaxed geometry (meta-GGA SCAN).

Properties
The formation energy is -101 meV/atom. As for the density of states at the Fermi level: 0.6274 states/eV per atom.

a b c (Å): 5.4538 5.4538 3.7886
angles (deg): 90.00 90.00 90.00
Fractional coordinates of all 4 atoms:
Ca 0.0000 0.0000 0.0000
Y 0.5000 0.5000 0.0000
Mg 0.0000 0.5000 0.5000
Mg 0.5000 0.0000 0.5000

***

[3]
Entry from the Alexandria database: Ca2YMg at its PBEsol-relaxed geometry (meta-GGA SCAN).

Properties
The formation energy is -6 meV/atom. As for the density of states at the Fermi level: 1.0025 states/eV per atom.

a b c (Å): 3.7356 3.7356 9.4815
angles (deg): 90.00 90.00 90.00
Fractional coordinates of all 4 atoms:
Ca 0.0000 0.0000 0.0000
Ca 0.5000 0.5000 0.3055
Y 0.5000 0.5000 0.7235
Mg 0.0000 0.0000 0.5253

***

[4]
Entry from the Alexandria database: Ca2YMg at its PBEsol-relaxed geometry (meta-GGA SCAN).

Properties
The formation energy is 118 meV/atom. As for the density of states at the Fermi level: 1.2647 states/eV per atom.

a b c (Å): 7.0538 11.4068 3.4420
angles (deg): 90.00 109.88 90.00
Fractional coordinates of all 8 atoms:
Ca 0.2500 0.2500 0.0000
Ca 0.2500 0.7500 0.0000
Ca 0.7500 0.2500 0.0000
Ca 0.7500 0.7500 0.0000
Y 0.0000 0.0000 0.5000
Y 0.5000 0.5000 0.5000
Mg 0.0000 0.5000 0.5000
Mg 0.5000 0.0000 0.5000

***

[5]
Entry from the Alexandria database: CaMgZn2 at its PBEsol-relaxed geometry (meta-GGA SCAN).

Properties
The formation energy is -211 meV/atom. As for the density of states at the Fermi level: 0.4555 states/eV per atom.

a b c (Å): 4.3543 4.3543 16.5105
angles (deg): 90.00 90.00 120.00
Fractional coordinates of all 12 atoms:
Ca 0.0000 0.0000 0.0000
Ca 0.3333 0.6667 0.6667
Ca 0.6667 0.3333 0.3333
Mg 0.0000 0.0000 0.8044
Mg 0.3333 0.6667 0.4710
Mg 0.6667 0.3333 0.1377
Zn 0.0000 0.0000 0.2103
Zn 0.0000 0.0000 0.5496
Zn 0.3333 0.6667 0.2162
Zn 0.3333 0.6667 0.8770
Zn 0.6667 0.3333 0.5437
Zn 0.6667 0.3333 0.8829

***

[6]
Entry from the Alexandria database: Ca2MgZn9 at its PBEsol-relaxed geometry (meta-GGA SCAN).

Properties
The formation energy is -195 meV/atom. As for the density of states at the Fermi level: 0.3835 states/eV per atom.

a b c (Å): 9.0138 9.0138 9.0138
angles (deg): 34.57 34.57 34.57
Fractional coordinates of all 12 atoms:
Ca 0.1417 0.1417 0.1417
Ca 0.8583 0.8583 0.8583
Mg 0.0000 0.0000 0.0000
Zn 0.0779 0.5836 0.5836
Zn 0.3342 0.3342 0.3342
Zn 0.4164 0.4164 0.9221
Zn 0.4164 0.9221 0.4164
Zn 0.5000 0.5000 0.5000
Zn 0.5836 0.0779 0.5836
Zn 0.5836 0.5836 0.0779
Zn 0.6658 0.6658 0.6658
Zn 0.9221 0.4164 0.4164

***

Look up the formation energy of the fourth one. 118 meV/atom

***

Repeat the second record exactly.
Entry from the Alexandria database: CaYMg2 at its PBEsol-relaxed geometry (meta-GGA SCAN).

Properties
The formation energy is -101 meV/atom. As for the density of states at the Fermi level: 0.6274 states/eV per atom.

a b c (Å): 5.4538 5.4538 3.7886
angles (deg): 90.00 90.00 90.00
Fractional coordinates of all 4 atoms:
Ca 0.0000 0.0000 0.0000
Y 0.5000 0.5000 0.0000
Mg 0.0000 0.5000 0.5000
Mg 0.5000 0.0000 0.5000

***

The lowest formation energy belongs to which entry? CaMgZn2